Compound: Sc2BePb
Source: Alexandria via LeMat-Bulk
Functional: GGA-PBE
Structure: optimized geometry

Properties
electronic total energy: -20.34 eV per cell
symmetry: No. 225
crystal system: cubic
energy relative to the lowest polymorph listed for this composition: 74.8 meV/atom
ΔE_f: -0.060 eV per atom

Geometry as extended XYZ:
```
4
Lattice="2.735 0.189 4.013 3.289 3.537 0.534 -0.726 3.519 3.272" Properties=species:S:1:pos:R:3 pbc="T T T"
Pb 2.649 3.623 3.910
Be 0.000 0.000 0.000
Sc 1.325 1.811 1.955
Sc 3.974 5.434 5.864
```